Entry 1:
This record from Alexandria via LeMat-Bulk describes a relaxed structure of NbNiPdPt2. The functional is GGA-PBE.

Results
**Magnetization**: 0.00 μB/atom
**Uncorrected energy**: -135.924 eV/cell
**Energy relative to the elements**: -83 kJ/mol of formula units

Unit cell a=2.7776 b=12.5843 c=8.9819 alpha=90.00 beta=90.00 gamma=90.00
Closest atoms and distances in Å follow each position.
Space group Cmcm (No. 63)
Symmetry-distinct sites (fractional):
Nb: 0.0000 0.1421 0.2500 (multiplicity 4)  2 Ni 2.69, 4 Pt 2.78, 2 Nb 2.78, 2 Pd 2.87
Ni: 0.0000 0.4591 0.2500 (multiplicity 4)  2 Nb 2.69, 4 Pd 2.69, 4 Pt 2.75, 2 Ni 2.78
Pd: 0.0000 0.0000 0.0000 (multiplicity 4)  2 Pt 2.66, 4 Ni 2.69, 2 Pd 2.78, 2 Nb 2.87
Pt: 0.0000 0.1981 0.6033 (multiplicity 8)  5 Pt 2.63-2.78, 1 Pd 2.66, 2 Ni 2.75, 2 Nb 2.78

---

Entry 2:
This record from Alexandria via LeMat-Bulk describes a relaxed structure of Ho6In3Bi. The functional is GGA-PBE.

Results
**Magnetization**: 0.00 μB/atom
**Uncorrected energy**: -169.224 eV/cell
**Energy relative to the elements**: -265 kJ/mol of formula units

Unit cell a=10.8856 b=14.8967 c=7.3788 alpha=90.00 beta=90.00 gamma=90.00
Closest atoms and distances in Å follow each position.
Space group Cmc2_1 (No. 36)
Symmetry-distinct sites (fractional):
Ho: 0.0000 0.0308 0.0000 (multiplicity 4)  2 Bi 3.04-3.39, 4 In 3.09-3.20, 2 Ho 3.39
Ho: 0.0000 0.3010 0.0622 (multiplicity 4)  1 Bi 3.26, 2 Ho 3.46, 3 In 3.49-3.58
Ho: 0.1944 0.3029 0.5032 (multiplicity 8)  3 In 3.01-3.30, 1 Bi 3.23
Ho: 0.2267 0.4567 0.1606 (multiplicity 8)  4 In 3.11-3.25, 3 Ho 3.39-3.46
In: 0.0000 0.4684 0.4248 (multiplicity 4)  6 Ho 3.15-3.30
In: 0.1436 0.1289 0.3029 (multiplicity 8)  6 Ho 3.01-3.25, 1 In 3.13
Bi: 0.0000 0.1727 0.7046 (multiplicity 4)  5 Ho 3.04-3.39

---

Entry 3:
This record from Alexandria via LeMat-Bulk describes a relaxed structure of ZrBeF6. The functional is GGA-PBE.

Results
**E_form (uncorrected)**: -3.31 eV/atom
**Magnetization**: 0.00 μB/atom
**Uncorrected energy**: -100.013 eV/cell

Unit cell a=4.8386 b=8.7209 c=4.7738 alpha=90.00 beta=103.43 gamma=90.00
Closest atoms and distances in Å follow each position.
Space group C2/m (No. 12)
Symmetry-distinct sites (fractional):
Zr: 0.0000 0.0000 0.0000 (multiplicity 2)  6 F 2.04-2.05
Be: 0.0000 0.5000 0.5000 (multiplicity 2)  6 F 1.73-1.81
F: 0.2154 0.3592 0.7326 (multiplicity 8)  1 Be 1.81
F: 0.2395 0.5000 0.2805 (multiplicity 4)  1 Be 1.73

---

Entry 4:
This record from Alexandria via LeMat-Bulk describes a relaxed structure of LaTi2Tc. The functional is GGA-PBE.

Results
**Magnetization**: 0.00 μB/atom
**Uncorrected energy**: -121.167 eV/cell
**Energy relative to the elements**: 76 kJ/mol of formula units
**ΔE to the lowest computed polymorph**: 317 meV per atom

Unit cell a=6.6720 b=6.6720 c=6.6720 alpha=90.00 beta=90.00 gamma=90.00
Closest atoms and distances in Å follow each position.
Space group Fm-3m (No. 225)
Symmetry-distinct sites (fractional):
La: 0.0000 0.0000 0.0000 (multiplicity 4)  8 Ti 2.89
Ti: 0.2500 0.2500 0.2500 (multiplicity 8)  4 La 2.89, 4 Tc 2.89
Tc: 0.0000 0.0000 0.5000 (multiplicity 4)  8 Ti 2.89

---

Entry 5:
This record from Alexandria via LeMat-Bulk describes a relaxed structure of AcSm10Er4. The functional is GGA-PBE.

Results
**Magnetization**: 0.00 μB/atom
**Uncorrected energy**: -124.185 eV/cell
**Energy relative to the elements**: 720 kJ/mol of formula units

Unit cell a=12.7185 b=12.7185 c=6.8425 alpha=90.00 beta=90.00 gamma=90.00
Closest atoms and distances in Å follow each position.
Space group I4/m (No. 87)
Symmetry-distinct sites (fractional):
Ac: 0.0000 0.0000 0.0000 (multiplicity 2)  8 Er 4.20, 8 Sm 4.38
Sm: 0.0000 0.5000 0.2500 (multiplicity 4)  6 Sm 3.13-3.42
Sm: 0.1287 0.2904 0.2481 (multiplicity 16)  4 Sm 3.13-3.45, 3 Er 3.35-3.48
Er: 0.0676 0.8210 0.5000 (multiplicity 8)  6 Sm 3.35-3.48, 2 Er 3.44

---

Entry 6:
This record from Alexandria via LeMat-Bulk describes a relaxed structure of FeRhS. The functional is GGA-PBE.

Results
**E_form (uncorrected)**: -0.06 eV/atom
**Magnetization**: 0.79 μB/atom
**Uncorrected energy**: -40.264 eV/cell
**ΔE to the lowest computed polymorph**: 137 meV per atom

Unit cell a=3.0398 b=3.2852 c=8.0747 alpha=90.00 beta=90.00 gamma=90.00
Closest atoms and distances in Å follow each position.
Space group Amm2 (No. 38)
Symmetry-distinct sites (fractional):
Fe: 0.0000 0.0000 0.0000 (multiplicity 2)  4 S 2.35
Rh: 0.5000 0.0000 0.7061 (multiplicity 2)  3 S 2.34-2.38
S: 0.5000 0.0000 0.4118 (multiplicity 2)  3 Rh 2.34-2.38, 4 Fe 2.35

---

Entry 7:
This record from Alexandria via LeMat-Bulk describes a relaxed structure of CaAl2GePd4. The functional is GGA-PBE.

Results
**Magnetization**: 0.00 μB/atom
**Uncorrected energy**: -120.427 eV/cell
**Energy relative to the elements**: -508 kJ/mol of formula units

Unit cell a=4.3416 b=4.3416 c=25.8323 alpha=90.00 beta=90.00 gamma=120.00
Closest atoms and distances in Å follow each position.
Space group R-3m (No. 166, hexagonal axes)
Symmetry-distinct sites (fractional):
Ca: 0.0000 0.0000 0.0000 (multiplicity 3)  8 Pd 3.10-3.45, 6 Al 3.41
Al: 0.0000 0.0000 0.2437 (multiplicity 6)  7 Pd 2.55-2.84
Ge: 0.0000 0.0000 0.5000 (multiplicity 3)  8 Pd 2.48-2.65
Pd: 0.0000 0.0000 0.1337 (multiplicity 6)  3 Ge 2.65, 4 Al 2.75-2.84
Pd: 0.0000 0.0000 0.4039 (multiplicity 6)  1 Ge 2.48, 3 Al 2.55

---

Entry 8:
This record from Alexandria via LeMat-Bulk describes a relaxed structure of Co2RePt8. The functional is GGA-PBE.

Results
**Magnetization**: 0.41 μB/atom
**Uncorrected energy**: -150.016 eV/cell
**Energy relative to the elements**: -2 kJ/mol of formula units

Unit cell a=3.8998 b=7.3416 c=11.8120 alpha=90.00 beta=90.00 gamma=90.00
Closest atoms and distances in Å follow each position.
Space group Immm (No. 71)
Symmetry-distinct sites (fractional):
Co: 0.0000 0.0000 0.1758 (multiplicity 4)  10 Pt 2.60-2.76
Re: 0.0000 0.0000 0.5000 (multiplicity 2)  12 Pt 2.71-2.83
Pt: 0.0000 0.2204 0.0000 (multiplicity 4)  2 Co 2.63, 6 Pt 2.73-2.79, 2 Re 2.83
Pt: 0.0000 0.2667 0.3387 (multiplicity 8)  3 Co 2.60-2.75, 7 Pt 2.72-2.87, 1 Re 2.73
Pt: 0.0000 0.5000 0.1594 (multiplicity 4)  2 Re 2.71, 8 Pt 2.72-2.79, 2 Co 2.76

---

Question: Look up the uncorrected energy of the eighth one.
Answer: -150.016 eV/cell

---

Question: Number 5 is which compound?
Answer: AcSm10Er4

---

Question: What is the magnetization in the eighth record?
Answer: 0.41 μB/atom

---

Question: Which formula does entry 5 have?
Answer: AcSm10Er4